{"formula": "SrMg4Tl4", "functional": "PBE", "state": "relaxed", "e_form_ev_per_atom": -0.09, "space_group": "P4_2/nmc (137)", "rho_g_cm3": 6.6, "energy_ry_per_atom": -0.1496, "cell": [[7.072, 0.000, 0.000], [0.000, 7.072, 0.000], [0.000, 0.000, 10.112]], "species": ["Mg", "Mg", "Mg", "Mg", "Mg", "Mg", "Mg", "Mg", "Sr", "Sr", "Tl", "Tl", "Tl", "Tl", "Tl", "Tl", "Tl", "Tl"], "fractional_positions": [[0.000, 0.277, 0.414], [0.777, 0.500, 0.914], [0.500, 0.223, 0.086], [0.000, 0.723, 0.414], [0.223, 0.500, 0.914], [0.277, 0.000, 0.586], [0.500, 0.777, 0.086], [0.723, 0.000, 0.586], [0.000, 0.000, 0.000], [0.500, 0.500, 0.500], [0.500, 0.225, 0.794], [0.500, 0.775, 0.794], [0.275, 0.000, 0.294], [0.775, 0.500, 0.206], [0.000, 0.725, 0.706], [0.225, 0.500, 0.206], [0.725, 0.000, 0.294], [0.000, 0.275, 0.706]]}


{"formula": "NdPa2S6", "functional": "PBE", "state": "relaxed", "formation_energy_uncorrected_ev_per_fu": -14.851, "space_group": "C2/c (15)", "rho_g_cm3": 5.7, "energy_ry_per_atom": -0.5176, "de_polymorph_ev_per_atom": 0.000, "cell": [[-6.076, -1.941, -3.227], [-5.938, -2.010, 5.919], [-5.360, 6.739, -0.430]], "species": ["S", "S", "S", "S", "S", "S", "S", "S", "S", "S", "S", "S", "Pa", "Pa", "Pa", "Pa", "Nd", "Nd"], "fractional_positions": [[0.958, 0.893, 0.365], [0.542, 0.635, 0.107], [0.458, 0.365, 0.893], [0.320, 0.668, 0.577], [0.820, 0.577, 0.668], [0.042, 0.107, 0.635], [0.680, 0.332, 0.423], [0.501, 0.982, 0.753], [0.001, 0.753, 0.982], [0.999, 0.247, 0.018], [0.499, 0.018, 0.247], [0.180, 0.423, 0.332], [0.409, 0.691, 0.845], [0.909, 0.845, 0.691], [0.591, 0.309, 0.155], [0.091, 0.155, 0.309], [0.750, 0.670, 0.330], [0.250, 0.330, 0.670]]}


{"formula": "TlTe2As", "functional": "PBE", "state": "relaxed", "formation_energy_uncorrected_ev_per_fu": -0.089, "space_group": "P2/m (10)", "rho_g_cm3": 7.4, "energy_ry_per_atom": -0.2460, "cell": [[4.243, 0.000, 0.000], [0.000, 3.277, -0.007], [0.000, 0.026, 8.669]], "species": ["As", "Te", "Te", "Tl"], "fractional_positions": [[0.500, 0.750, 0.750], [0.000, 0.750, 0.523], [0.000, 0.750, 0.977], [0.500, 0.250, 0.250]]}


{"formula": "BaCa5Hg6", "functional": "PBE", "state": "relaxed", "e_form_ev_per_atom": -0.52, "space_group": "P2/m (10)", "rho_g_cm3": 7.4, "energy_ry_per_atom": -0.1226, "cell": [[5.399, 0.002, -1.128], [-0.003, 7.639, -0.001], [-1.019, 0.000, 8.628]], "species": ["Hg", "Hg", "Hg", "Hg", "Hg", "Hg", "Ca", "Ca", "Ca", "Ca", "Ca", "Ba"], "fractional_positions": [[0.826, 0.260, 0.655], [0.826, 0.740, 0.655], [0.500, 0.733, 0.000], [0.500, 0.267, 0.000], [0.174, 0.260, 0.345], [0.174, 0.740, 0.345], [0.000, 0.500, 0.000], [0.670, 0.000, 0.338], [0.335, 0.500, 0.672], [0.330, 0.000, 0.662], [0.665, 0.500, 0.328], [0.000, 0.000, 0.000]]}


{"formula": "CuSiTc2", "functional": "PBE", "state": "relaxed", "formation_energy_uncorrected_ev_per_fu": 0.033, "space_group": "F-43m (216)", "rho_g_cm3": 8.9, "energy_ry_per_atom": -0.5552, "cell": [[-2.258, 1.989, 2.985], [-4.124, 0.760, -0.616], [-2.904, -2.131, 2.233]], "species": ["Cu", "Tc", "Tc", "Si"], "fractional_positions": [[0.500, 0.500, 0.500], [0.000, 0.000, 0.000], [0.250, 0.250, 0.250], [0.750, 0.750, 0.750]]}


{"formula": "LaSi2P", "functional": "PBE", "state": "relaxed", "formation_energy_uncorrected_ev_per_fu": -0.911, "space_group": "P-3m1 (164)", "rho_g_cm3": 4.0, "energy_ry_per_atom": -0.4060, "cell": [[-1.770, 3.639, 0.145], [-2.256, -3.333, -0.450], [-1.078, -1.049, 13.188]], "species": ["Si", "Si", "Si", "Si", "La", "La", "P", "P"], "fractional_positions": [[0.333, 0.667, 0.975], [0.667, 0.333, 0.025], [0.667, 0.333, 0.202], [0.333, 0.667, 0.798], [0.333, 0.667, 0.367], [0.667, 0.333, 0.633], [0.000, 0.000, 0.231], [0.000, 0.000, 0.769]]}


{"formula": "Zr6Sb3S", "functional": "PBE", "state": "relaxed", "formation_energy_uncorrected_ev_per_fu": -6.208, "space_group": "Cmc2_1 (36)", "rho_g_cm3": 6.5, "energy_ry_per_atom": -0.5438, "cell": [[6.546, 0.000, 0.000], [0.000, 8.688, 0.117], [0.000, -1.825, 8.495]], "species": ["S", "S", "Sb", "Sb", "Sb", "Sb", "Sb", "Sb", "Zr", "Zr", "Zr", "Zr", "Zr", "Zr", "Zr", "Zr", "Zr", "Zr", "Zr", "Zr"], "fractional_positions": [[0.979, 0.148, 0.852], [0.479, 0.852, 0.148], [0.528, 0.286, 0.096], [0.323, 0.399, 0.601], [0.028, 0.714, 0.904], [0.823, 0.601, 0.399], [0.028, 0.096, 0.286], [0.528, 0.904, 0.714], [0.178, 0.715, 0.590], [0.759, 0.977, 0.023], [0.678, 0.285, 0.410], [0.684, 0.923, 0.406], [0.184, 0.077, 0.594], [0.143, 0.762, 0.238], [0.643, 0.238, 0.762], [0.259, 0.023, 0.977], [0.684, 0.594, 0.077], [0.178, 0.410, 0.285], [0.678, 0.590, 0.715], [0.184, 0.406, 0.923]]}


{"formula": "PRh2", "functional": "PBE", "state": "relaxed", "e_form_ev_per_atom": -0.47, "space_group": "Cmc2_1 (36)", "rho_g_cm3": 9.5, "energy_ry_per_atom": -0.5276, "cell": [[1.447, -5.239, 0.000], [1.447, 5.239, 0.000], [0.000, 0.000, 5.484]], "species": ["Rh", "Rh", "Rh", "Rh", "P", "P"], "fractional_positions": [[0.032, 0.968, 0.785], [0.705, 0.295, 0.467], [0.295, 0.705, 0.967], [0.968, 0.032, 0.285], [0.628, 0.372, 0.076], [0.372, 0.628, 0.576]]}


{"formula": "K2MgB12H20O30", "functional": "PBE", "state": "relaxed", "space_group": "P-1 (2)", "rho_g_cm3": 1.9, "energy_ry_per_atom": -0.4729, "cell": [[7.652, -0.018, 0.028], [-0.271, 7.881, 0.008], [-0.828, -3.499, 10.341]], "species": ["K", "K", "H", "H", "H", "H", "H", "H", "H", "H", "H", "H", "H", "H", "H", "H", "H", "H", "H", "H", "H", "H", "B", "B", "B", "B", "B", "B", "B", "B", "B", "B", "B", "B", "O", "O", "O", "O", "O", "O", "O", "O", "O", "O", "O", "O", "O", "O", "O", "O", "O", "O", "O", "O", "O", "O", "O", "O", "O", "O", "O", "O", "O", "O", "Mg"], "fractional_positions": [[0.736, 0.363, 0.402], [0.264, 0.637, 0.598], [0.124, 0.303, 0.261], [0.812, 0.711, 0.244], [0.284, 0.187, 0.100], [0.188, 0.289, 0.756], [0.881, 0.942, 0.404], [0.129, 0.985, 0.781], [0.871, 0.015, 0.219], [0.119, 0.058, 0.596], [0.382, 0.430, 0.051], [0.718, 0.534, 0.145], [0.390, 0.311, 0.628], [0.716, 0.813, 0.900], [0.983, 0.641, 0.959], [0.700, 0.026, 0.132], [0.610, 0.689, 0.372], [0.618, 0.570, 0.949], [0.017, 0.359, 0.041], [0.282, 0.466, 0.855], [0.300, 0.974, 0.868], [0.876, 0.697, 0.739], [0.331, 0.015, 0.203], [0.869, 0.108, 0.648], [0.882, 0.434, 0.709], [0.462, 0.759, 0.045], [0.538, 0.241, 0.955], [0.118, 0.566, 0.291], [0.669, 0.985, 0.797], [0.646, 0.845, 0.559], [0.354, 0.155, 0.441], [0.131, 0.892, 0.352], [0.167, 0.699, 0.114], [0.833, 0.301, 0.886], [0.102, 0.416, 0.329], [0.222, 0.041, 0.456], [0.890, 0.446, 0.839], [0.533, 0.065, 0.883], [0.599, 0.700, 0.970], [0.033, 0.747, 0.031], [0.967, 0.253, 0.969], [0.210, 0.113, 0.139], [0.945, 0.925, 0.325], [0.728, 0.609, 0.236], [0.141, 0.728, 0.386], [0.859, 0.272, 0.614], [0.175, 0.930, 0.848], [0.272, 0.391, 0.764], [0.825, 0.070, 0.152], [0.674, 0.362, 0.956], [0.467, 0.935, 0.117], [0.569, 0.704, 0.458], [0.584, 0.866, 0.677], [0.055, 0.075, 0.675], [0.401, 0.300, 0.030], [0.778, 0.959, 0.544], [0.326, 0.638, 0.044], [0.110, 0.554, 0.161], [0.790, 0.887, 0.861], [0.898, 0.584, 0.671], [0.431, 0.296, 0.542], [0.416, 0.134, 0.323], [0.780, 0.133, 0.773], [0.220, 0.867, 0.227], [0.000, 0.000, 0.000]]}


{"formula": "KIn2HgTe4", "functional": "PBE", "state": "relaxed", "formation_energy_uncorrected_ev_per_fu": -2.874, "space_group": "I-42m (121)", "rho_g_cm3": 4.8, "energy_ry_per_atom": -0.2050, "cell": [[7.031, 0.000, 0.000], [3.516, 7.440, 2.074], [3.516, 2.677, 7.245]], "species": ["In", "In", "Hg", "Te", "Te", "Te", "Te", "K"], "fractional_positions": [[0.250, 0.250, 0.250], [0.750, 0.750, 0.750], [0.500, 0.500, 0.500], [0.860, 0.583, 0.140], [0.140, 0.860, 0.417], [0.417, 0.140, 0.583], [0.583, 0.417, 0.860], [0.000, 0.000, 0.000]]}


{"formula": "In12Sn3Hg", "functional": "PBE", "state": "relaxed", "e_form_ev_per_atom": 0.03, "space_group": "P4/mmm (123)", "rho_g_cm3": 7.4, "energy_ry_per_atom": -0.2054, "cell": [[4.684, 0.000, 0.000], [0.000, 4.684, 0.000], [0.000, 0.000, 19.875]], "species": ["In", "In", "In", "In", "In", "In", "In", "In", "In", "In", "In", "In", "Sn", "Sn", "Sn", "Hg"], "fractional_positions": [[0.000, 0.500, 0.374], [0.500, 0.500, 0.000], [0.000, 0.500, 0.123], [0.500, 0.000, 0.123], [0.500, 0.000, 0.374], [0.500, 0.500, 0.751], [0.500, 0.500, 0.249], [0.000, 0.500, 0.626], [0.000, 0.500, 0.877], [0.500, 0.000, 0.877], [0.500, 0.500, 0.500], [0.500, 0.000, 0.626], [0.000, 0.000, 0.500], [0.000, 0.000, 0.755], [0.000, 0.000, 0.245], [0.000, 0.000, 0.000]]}


{"formula": "In2Re", "functional": "PBE", "state": "relaxed", "e_form_ev_per_atom": 0.54, "space_group": "Cmcm (63)", "rho_g_cm3": 11.5, "energy_ry_per_atom": -0.3998, "cell": [[-3.563, 6.265, 3.231], [2.002, -7.597, -0.816], [3.867, 0.708, 2.891]], "species": ["Re", "Re", "In", "In", "In", "In"], "fractional_positions": [[0.718, 0.282, 0.250], [0.282, 0.718, 0.750], [0.062, 0.938, 0.250], [0.369, 0.631, 0.250], [0.631, 0.369, 0.750], [0.938, 0.062, 0.750]]}


{"formula": "Hg3Se5", "functional": "PBE", "state": "relaxed", "formation_energy_uncorrected_ev_per_fu": 1.601, "space_group": "P4/mmm (123)", "rho_g_cm3": 7.3, "energy_ry_per_atom": -0.1537, "de_polymorph_ev_per_atom": 0.149, "cell": [[3.969, 0.000, 0.000], [0.000, 3.969, 0.000], [0.000, 0.000, 14.377]], "species": ["Se", "Se", "Se", "Se", "Se", "Hg", "Hg", "Hg"], "fractional_positions": [[0.500, 0.500, 0.414], [0.500, 0.500, 0.586], [0.000, 0.000, 0.181], [0.000, 0.000, 0.819], [0.000, 0.000, 0.000], [0.500, 0.500, 0.190], [0.500, 0.500, 0.810], [0.000, 0.000, 0.500]]}


{"formula": "KSr2Ca", "functional": "PBE", "state": "relaxed", "e_form_ev_per_atom": 0.11, "space_group": "C2/m (12)", "rho_g_cm3": 2.0, "energy_ry_per_atom": -0.1107, "de_polymorph_ev_per_atom": 0.044, "cell": [[7.911, 0.007, -0.004], [-3.545, 7.073, -0.004], [0.709, 1.149, 3.850]], "species": ["Ca", "Sr", "Sr", "K"], "fractional_positions": [[0.500, 0.000, 0.500], [0.500, 0.500, 0.000], [0.000, 0.000, 0.000], [0.000, 0.500, 0.500]]}


{"formula": "Rh2SeCl", "functional": "PBE", "state": "relaxed", "formation_energy_uncorrected_ev_per_fu": 2.453, "space_group": "F-43m (216)", "rho_g_cm3": 8.1, "energy_ry_per_atom": -0.3231, "de_polymorph_ev_per_atom": 0.673, "cell": [[4.523, 0.000, 0.000], [2.261, 3.917, 0.000], [2.261, 1.306, 3.693]], "species": ["Rh", "Rh", "Se", "Cl"], "fractional_positions": [[0.250, 0.250, 0.250], [0.000, 0.000, 0.000], [0.750, 0.750, 0.750], [0.500, 0.500, 0.500]]}


{"formula": "Mg15Tl2In2", "functional": "PBE", "state": "relaxed", "e_form_ev_per_atom": 0.07, "space_group": "R-3m (166)", "rho_g_cm3": 3.5, "energy_ry_per_atom": -0.1265, "cell": [[7.772, -0.209, 1.580], [1.250, 7.673, 1.580], [-0.253, -0.209, 7.927]], "species": ["Mg", "Mg", "Mg", "Mg", "Mg", "Mg", "Mg", "Mg", "Mg", "Mg", "Mg", "Mg", "Mg", "Mg", "Mg", "Tl", "Tl", "In", "In"], "fractional_positions": [[0.332, 0.000, 0.668], [0.663, 0.663, 0.169], [0.831, 0.337, 0.337], [0.000, 0.000, 0.500], [0.000, 0.668, 0.332], [0.332, 0.668, 0.000], [0.668, 0.332, 0.000], [0.337, 0.337, 0.831], [0.169, 0.663, 0.663], [0.500, 0.000, 0.000], [0.000, 0.332, 0.668], [0.668, 0.000, 0.332], [0.663, 0.169, 0.663], [0.337, 0.831, 0.337], [0.000, 0.500, 0.000], [0.899, 0.899, 0.899], [0.101, 0.101, 0.101], [0.611, 0.611, 0.611], [0.389, 0.389, 0.389]]}


{"formula": "SiNiP", "functional": "PBE", "state": "relaxed", "formation_energy_uncorrected_ev_per_fu": -0.500, "space_group": "Pnma (62)", "rho_g_cm3": 4.7, "energy_ry_per_atom": -0.4193, "cell": [[-2.049, -2.315, -1.259], [-1.580, -2.355, 6.900], [-5.099, 4.342, 0.314]], "species": ["Si", "Si", "Si", "Si", "Ni", "Ni", "Ni", "Ni", "P", "P", "P", "P"], "fractional_positions": [[0.250, 0.391, 0.091], [0.250, 0.891, 0.409], [0.750, 0.609, 0.909], [0.750, 0.109, 0.591], [0.250, 0.655, 0.648], [0.250, 0.155, 0.852], [0.750, 0.345, 0.352], [0.750, 0.845, 0.148], [0.750, 0.148, 0.092], [0.250, 0.352, 0.592], [0.750, 0.648, 0.408], [0.250, 0.852, 0.908]]}


{"formula": "PmSmDy4", "functional": "PBE", "state": "relaxed", "e_form_ev_per_atom": 0.15, "space_group": "C2/c (15)", "rho_g_cm3": 7.9, "energy_ry_per_atom": -0.3306, "de_polymorph_ev_per_atom": 0.131, "cell": [[-4.109, -0.862, 4.949], [-2.346, -4.719, -7.283], [7.281, -2.891, 3.543]], "species": ["Dy", "Dy", "Dy", "Dy", "Dy", "Dy", "Dy", "Dy", "Sm", "Sm", "Pm", "Pm"], "fractional_positions": [[0.748, 0.713, 0.609], [0.047, 0.167, 0.740], [0.807, 0.427, 0.260], [0.639, 0.104, 0.391], [0.953, 0.833, 0.260], [0.193, 0.573, 0.740], [0.252, 0.287, 0.391], [0.361, 0.896, 0.609], [0.749, 0.999, 0.998], [0.251, 0.001, 0.002], [0.664, 0.414, 0.829], [0.336, 0.586, 0.171]]}


{"formula": "FeNi", "functional": "PBE", "state": "relaxed", "e_form_ev_per_atom": -0.02, "space_group": "I4_1/amd (141)", "rho_g_cm3": 8.4, "energy_ry_per_atom": -0.5248, "cell": [[-3.030, 1.372, 1.266], [-0.537, -2.548, -3.527], [-1.170, -3.276, 0.749]], "species": ["Fe", "Fe", "Ni", "Ni"], "fractional_positions": [[0.750, 0.500, 0.750], [0.000, 0.000, 0.000], [0.250, 0.500, 0.250], [0.500, 0.000, 0.500]]}


{"formula": "LiFe2W2", "functional": "PBE", "state": "relaxed", "e_form_ev_per_atom": 0.28, "space_group": "P4/mbm (127)", "rho_g_cm3": 11.5, "energy_ry_per_atom": -0.6373, "cell": [[7.155, 0.000, 0.000], [0.000, 7.155, 0.000], [0.000, 0.000, 2.741]], "species": ["Fe", "Fe", "Fe", "Fe", "W", "W", "W", "W", "Li", "Li"], "fractional_positions": [[0.637, 0.137, 0.000], [0.863, 0.637, 0.000], [0.363, 0.863, 0.000], [0.137, 0.363, 0.000], [0.842, 0.342, 0.500], [0.158, 0.658, 0.500], [0.658, 0.842, 0.500], [0.342, 0.158, 0.500], [0.500, 0.500, 0.000], [0.000, 0.000, 0.000]]}